TiTlInBi2: optimized geometry, PBE.

Values from the calculation:
Energy relative to the elements ... 108 meV per atom

Unit cell a=5.436 b=5.436 c=5.488 alpha=90.00 beta=90.00 gamma=90.00
Atoms (fractional coordinates):
Ti 0.000 0.000 0.000
Tl 0.500 0.500 0.500
In 0.000 0.000 0.500
Bi 0.000 0.500 0.000
Bi 0.500 0.000 0.000



AsOsRuBr2: optimized geometry, PBE.

Values from the calculation:
Formation energy from raw total energies ... 1.462 eV per atom

Unit cell a=5.078 b=5.078 c=4.716 alpha=90.00 beta=90.00 gamma=90.00
Atoms (fractional coordinates):
As 0.000 0.000 0.000
Os 0.500 0.500 0.000
Ru 0.000 0.000 0.500
Br 0.000 0.500 0.500
Br 0.500 0.000 0.500



NdSmOs: optimized geometry, PBE.

Values from the calculation:
Energy relative to the elements ... -78 meV per atom

Unit cell a=4.900 b=4.900 c=4.900 alpha=60.00 beta=60.00 gamma=60.00
Atoms (fractional coordinates):
Nd 0.000 0.000 0.000
Sm 0.500 0.500 0.500
Os 0.250 0.250 0.250



SmDy2Th3As6: optimized geometry, PBE.

Values from the calculation:
Energy relative to the elements ... -1472 meV per atom

Unit cell a=9.394 b=9.394 c=8.381 alpha=102.62 beta=102.62 gamma=25.92
Atoms (fractional coordinates):
Sm 0.000 0.000 0.000
Dy 0.333 0.333 0.667
Dy 0.667 0.667 0.333
Th 0.000 0.000 0.500
Th 0.334 0.334 0.167
Th 0.666 0.666 0.833
As 0.167 0.167 0.088
As 0.168 0.168 0.579
As 0.498 0.498 0.750
As 0.502 0.502 0.250
As 0.832 0.832 0.421
As 0.833 0.833 0.912



PrYTe2: optimized geometry, PBE.

Values from the calculation:
Formation energy from raw total energies ... -1.380 eV per atom

Unit cell a=4.418 b=4.418 c=7.791 alpha=106.59 beta=106.59 gamma=60.18
Atoms (fractional coordinates):
Pr 0.000 0.000 0.000
Y 0.500 0.500 0.500
Te 0.245 0.245 0.736
Te 0.755 0.755 0.264



YMo2Rh: optimized geometry, PBE.

Values from the calculation:
Energy relative to the elements ... 310 meV per atom

Unit cell a=5.446 b=5.446 c=2.841 alpha=90.00 beta=90.00 gamma=121.92
Atoms (fractional coordinates):
Y 0.000 0.000 0.000
Mo 0.000 0.500 0.500
Mo 0.500 0.000 0.500
Rh 0.500 0.500 0.000



Pr2Al3HgPd4: optimized geometry, PBE.

Values from the calculation:
Energy relative to the elements ... -740 meV per atom

Unit cell a=4.341 b=4.341 c=10.812 alpha=90.00 beta=90.00 gamma=90.00
Atoms (fractional coordinates):
Pr 0.000 0.500 0.244
Pr 0.500 0.000 0.756
Al 0.000 0.500 0.883
Al 0.500 0.000 0.117
Al 0.500 0.500 0.500
Hg 0.000 0.000 0.500
Pd 0.000 0.000 0.000
Pd 0.000 0.500 0.654
Pd 0.500 0.000 0.346
Pd 0.500 0.500 0.000



Rb3AlI: optimized geometry, PBE.

Values from the calculation:
Formation energy from raw total energies ... -0.131 eV per atom

Unit cell a=6.952 b=6.952 c=6.952 alpha=90.00 beta=90.00 gamma=90.00
Atoms (fractional coordinates):
Rb 0.000 0.000 0.500
Rb 0.000 0.500 0.000
Rb 0.500 0.000 0.000
Al 0.500 0.500 0.500
I 0.000 0.000 0.000